# 1
A plane-wave DFT calculation with PBE was carried out for a relaxed Tm3Sc4 crystal.

- ΔE_f: 0.05 eV/atom
- Crystal system: monoclinic

Structure (CIF):
```
data_Tm3Sc4
_chemical_formula_sum 'Tm6 Sc8'
_cell_length_a 10.552
_cell_length_b 4.767
_cell_length_c 7.534
_cell_angle_alpha 90.00
_cell_angle_beta 98.48
_cell_angle_gamma 90.00
_symmetry_space_group_name_H-M 'C 1 2/m 1'
_symmetry_Int_Tables_number 12
_symmetry_space_group_name_Hall '-C 2y'
loop_
_atom_site_label
_atom_site_type_symbol
_atom_site_fract_x
_atom_site_fract_y
_atom_site_fract_z
Tm1 Tm 0.000 0.000 0.000
Tm2 Tm 0.074 0.500 0.715
Sc1 Sc 0.144 0.000 0.433
Sc2 Sc 0.214 0.500 0.146
```


# 2
A plane-wave DFT calculation with PBE was carried out for a relaxed GaGePb crystal.

- Energy above the most stable polymorph in this dataset: 0 meV/atom
- ΔE_f: 0.11 eV/atom
- Crystal system: trigonal

Structure (CIF):
```
data_GaGePb
_chemical_formula_sum 'Ga1 Ge1 Pb1'
_cell_length_a 4.1744
_cell_length_b 4.1744
_cell_length_c 4.8999
_cell_angle_alpha 90.00
_cell_angle_beta 90.00
_cell_angle_gamma 120.00
_symmetry_space_group_name_H-M 'P 3 m 1'
_symmetry_Int_Tables_number 156
_symmetry_space_group_name_Hall 'P 3 -2"'
loop_
_atom_site_label
_atom_site_type_symbol
_atom_site_fract_x
_atom_site_fract_y
_atom_site_fract_z
Ga1 Ga 0.0000 0.0000 0.0000
Ge1 Ge 0.3333 0.6667 0.1689
Pb1 Pb 0.6667 0.3333 0.5725
```


# 3
A plane-wave DFT calculation with PBE was carried out for a relaxed CaGaGe2O6 crystal.

- Calculated total energy: -250.5 eV for the cell shown
- Crystal system: monoclinic

Structure (CIF):
```
data_CaGaGe2O6
_chemical_formula_sum 'Ca4 Ga4 Ge8 O24'
_cell_length_a 10.400
_cell_length_b 9.835
_cell_length_c 6.201
_cell_angle_alpha 90.00
_cell_angle_beta 115.23
_cell_angle_gamma 90.00
_symmetry_space_group_name_H-M 'C 1 2/c 1'
_symmetry_Int_Tables_number 15
_symmetry_space_group_name_Hall '-C 2yc'
loop_
_atom_site_label
_atom_site_type_symbol
_atom_site_fract_x
_atom_site_fract_y
_atom_site_fract_z
Ca1 Ca 0.000 0.124 0.250
Ga1 Ga 0.000 0.213 0.750
Ge1 Ge 0.190 0.430 0.190
O1 O 0.108 0.269 0.063
O2 O 0.114 0.087 0.675
O3 O 0.156 0.442 0.461
```


Repeat the third record exactly.
A plane-wave DFT calculation with PBE was carried out for a relaxed CaGaGe2O6 crystal.

- Calculated total energy: -250.5 eV for the cell shown
- Crystal system: monoclinic

Structure (CIF):
```
data_CaGaGe2O6
_chemical_formula_sum 'Ca4 Ga4 Ge8 O24'
_cell_length_a 10.400
_cell_length_b 9.835
_cell_length_c 6.201
_cell_angle_alpha 90.00
_cell_angle_beta 115.23
_cell_angle_gamma 90.00
_symmetry_space_group_name_H-M 'C 1 2/c 1'
_symmetry_Int_Tables_number 15
_symmetry_space_group_name_Hall '-C 2yc'
loop_
_atom_site_label
_atom_site_type_symbol
_atom_site_fract_x
_atom_site_fract_y
_atom_site_fract_z
Ca1 Ca 0.000 0.124 0.250
Ga1 Ga 0.000 0.213 0.750
Ge1 Ge 0.190 0.430 0.190
O1 O 0.108 0.269 0.063
O2 O 0.114 0.087 0.675
O3 O 0.156 0.442 0.461
```